Material: CeRh4Pb
Method: DFT, PBE
State: relaxed

Results
**Formation enthalpy at 0 K**: -2.6 eV/f.u.
**DOS at the Fermi energy**: 4.04 states/eV/f.u.
**Electronic total energy**: -6.9374 eV/atom

a b c (Å): 5.352 5.352 5.352
angles (deg): 60.00 60.00 60.00
Atoms (fractional coordinates):
1 Pb 0.000 0.000 0.000
2 Rh 0.123 0.626 0.626
3 Ce 0.250 0.250 0.250
4 Rh 0.626 0.626 0.123
5 Rh 0.626 0.123 0.626
6 Rh 0.626 0.626 0.626

***

Material: RbPbNO2
Method: DFT, PBE
State: relaxed

Results
**DOS at the Fermi energy**: 3.86 states/eV/f.u.
**Electronic total energy**: -3.2923 eV/atom
**Formation energy from raw total energies**: 1291.2 meV per atom

a b c (Å): 5.035 5.035 4.549
angles (deg): 90.00 90.00 90.00
Atoms (fractional coordinates):
1 O 0.500 0.000 0.000
2 N 0.000 0.000 0.500
3 Rb 0.000 0.000 0.000
4 Pb 0.500 0.500 0.500
5 O 0.000 0.500 0.000

***

Material: Fe2ReRu
Method: DFT, PBE
State: relaxed

Results
**Formation enthalpy at 0 K**: 3.1 eV/f.u.
**DOS at the Fermi energy**: 5.30 states/eV/f.u.
**Electronic total energy**: -8.8834 eV/atom

a b c (Å): 6.673 6.673 5.352
angles (deg): 51.43 51.43 90.00
Atoms (fractional coordinates):
1 Ru 0.500 0.500 0.000
2 Re 0.750 0.250 0.500
3 Ru 0.250 0.750 0.500
4 Fe 0.875 0.880 0.750
5 Re 0.000 0.000 0.000
6 Fe 0.375 0.370 0.750
7 Fe 0.120 0.625 0.250
8 Fe 0.630 0.125 0.250

***

Material: Dy3RuRh2
Method: DFT, PBE
State: relaxed

Results
**Formation enthalpy at 0 K**: -4.3 eV/f.u.
**DOS at the Fermi energy**: 2.04 states/eV/f.u.
**Electronic total energy**: -7.0184 eV/atom

a b c (Å): 4.836 7.645 6.808
angles (deg): 90.00 90.00 71.56
Atoms (fractional coordinates):
1 Rh 0.334 0.332 0.500
2 Dy 0.167 0.665 0.248
3 Dy 0.168 0.665 0.752
4 Ru 0.666 0.667 0.000
5 Dy 0.832 0.335 0.248
6 Rh 0.000 0.000 0.000
7 Dy 0.500 0.000 0.752
8 Ru 0.334 0.333 0.000
9 Dy 0.833 0.335 0.752
10 Rh 0.000 0.000 0.500
11 Dy 0.500 0.000 0.248
12 Rh 0.666 0.668 0.500

***

Material: Pm2Th3Rh2
Method: DFT, PBE
State: relaxed

Results
**Formation enthalpy at 0 K**: -3.7 eV/f.u.
**DOS at the Fermi energy**: 6.98 states/eV/f.u.
**Electronic total energy**: -7.1623 eV/atom

a b c (Å): 3.866 6.292 9.128
angles (deg): 69.37 77.77 72.11
Atoms (fractional coordinates):
1 Th 0.379 0.805 0.437
2 Rh 0.866 0.057 0.211
3 Th 0.621 0.195 0.563
4 Pm 0.839 0.526 0.796
5 Th 0.500 0.000 0.000
6 Pm 0.161 0.474 0.204
7 Rh 0.134 0.943 0.789

***

Material: LaTcS2N
Method: DFT, PBE
State: relaxed

Results
**Energy above the lowest structure with this stoichiometry**: 0.000 eV per atom
**DOS at the Fermi energy**: 4.26 states/eV/f.u.
**Electronic total energy**: -7.2394 eV/atom
**Formation energy from raw total energies**: -864.6 meV per atom

a b c (Å): 4.866 4.866 3.806
angles (deg): 90.00 90.00 90.00
Atoms (fractional coordinates):
1 N 0.000 0.000 0.500
2 S 0.000 0.500 0.000
3 La 0.500 0.500 0.500
4 Tc 0.000 0.000 0.000
5 S 0.500 0.000 0.000

***

Material: Al2PCl
Method: DFT, PBE
State: relaxed

Results
**Energy above the lowest structure with this stoichiometry**: 0.374 eV per atom
**DOS at the Fermi energy**: 2.00 states/eV/f.u.
**Electronic total energy**: -3.6265 eV/atom
**Formation energy from raw total energies**: 58.9 meV per atom

a b c (Å): 6.728 6.728 6.728
angles (deg): 148.94 148.94 44.50
Atoms (fractional coordinates):
1 Al 0.000 0.000 0.000
2 P 0.750 0.250 0.500
3 Cl 0.500 0.500 0.000
4 Al 0.250 0.750 0.500

***

Material: DyLuOs
Method: DFT, PBE
State: relaxed

Results
**Formation enthalpy at 0 K**: -0.8 eV/f.u.
**Energy above the lowest structure with this stoichiometry**: 0.033 eV per atom
**DOS at the Fermi energy**: 0.84 states/eV/f.u.
**Electronic total energy**: -7.0368 eV/atom

a b c (Å): 4.732 4.732 4.732
angles (deg): 60.00 60.00 60.00
Atoms (fractional coordinates):
1 Lu 0.000 0.000 0.000
2 Os 0.250 0.250 0.250
3 Dy 0.500 0.500 0.500